[1]
The following is a PBE calculation of a relaxed Li2TlGa2 crystal, from the Alexandria database.

Geometry as POSCAR:
```
Li2TlGa2
1.0
-2.002 2.002 6.404
2.002 -2.002 6.404
2.002 2.002 -6.404
Li Tl Ga
2 1 2
Cartesian
2.002 0.000 3.202
0.000 2.002 3.202
0.000 0.000 0.000
0.000 0.000 5.119
0.000 0.000 7.689
```

Output
The value obtained for the formation energy is -0.06 eV/atom. As for the crystal system: tetragonal. As for the offset from the most stable computed form: 106 meV/atom. The total energy comes out at -12.6 eV for the cell shown.



[2]
The following is a PBE calculation of a relaxed Li2Tl2Ga crystal, from the Alexandria database.

Geometry as POSCAR:
```
Li2Tl2Ga
1.0
7.317 0.000 0.000
0.000 7.317 0.000
0.000 0.000 3.987
Li Tl Ga
4 4 2
Cartesian
1.029 2.629 0.000
2.629 6.288 0.000
4.688 1.029 0.000
6.288 4.688 0.000
1.210 4.868 1.993
2.449 1.210 1.993
4.868 6.107 1.993
6.107 2.449 1.993
0.000 0.000 0.000
3.659 3.659 0.000
```

Output
The value obtained for the formation energy is -0.11 eV/atom. As for the crystal system: tetragonal. As for the offset from the most stable computed form: 0 meV/atom. The total energy comes out at -24.3 eV for the cell shown.



[3]
The following is a PBE calculation of a relaxed Li4TlGa3 crystal, from the Alexandria database.

Geometry as POSCAR:
```
Li4TlGa3
1.0
9.236 0.000 0.000
0.000 5.947 0.000
0.000 0.000 5.011
Li Tl Ga
8 2 6
Cartesian
0.000 1.414 0.000
0.000 4.533 0.000
2.309 1.404 1.640
2.309 4.543 1.640
4.618 1.414 0.000
4.618 4.533 0.000
6.927 1.404 3.371
6.927 4.543 3.371
0.000 2.974 2.505
4.618 2.974 2.505
0.000 0.000 2.505
2.309 0.000 4.108
2.309 2.974 4.323
4.618 0.000 2.505
6.927 0.000 0.903
6.927 2.974 0.688
```

Output
The value obtained for the formation energy is -0.24 eV/atom. As for the crystal system: orthorhombic. The total energy comes out at -42.0 eV for the cell shown.



[4]
The following is a PBE calculation of a relaxed Li8TlGa2 crystal, from the Alexandria database.

Geometry as POSCAR:
```
Li8TlGa2
1.0
3.725 -6.881 0.000
3.725 6.881 0.000
-2.766 0.000 3.741
Li Tl Ga
8 1 2
Cartesian
-0.244 1.891 2.649
3.725 4.045 0.000
-0.244 -1.891 2.649
2.649 0.000 0.763
2.036 0.000 2.978
4.929 1.891 1.092
3.725 -4.045 0.000
4.929 -1.891 1.092
0.000 0.000 0.000
2.342 2.522 1.871
2.342 -2.522 1.871
```

Output
The value obtained for the formation energy is -0.14 eV/atom. As for the crystal system: monoclinic. As for the offset from the most stable computed form: 37 meV/atom. The total energy comes out at -25.3 eV for the cell shown.



[5]
The following is a PBE calculation of a relaxed Li3TlGa crystal, from the Alexandria database.

Geometry as POSCAR:
```
Li3TlGa
1.0
4.720 0.000 0.000
0.000 6.004 0.000
-2.360 0.000 6.550
Li Tl Ga
6 2 2
Cartesian
0.009 1.501 0.165
-0.002 0.025 2.553
-0.002 2.977 2.553
2.363 3.027 3.997
2.363 5.979 3.997
2.352 4.503 6.385
0.005 1.501 5.212
2.356 4.503 1.338
-0.009 4.503 4.947
2.370 1.501 1.603
```

Output
The value obtained for the formation energy is -0.19 eV/atom. As for the crystal system: monoclinic. As for the offset from the most stable computed form: 64 meV/atom. The total energy comes out at -24.1 eV for the cell shown.



[6]
The following is a PBE calculation of a relaxed LiTl2Ga crystal, from the Alexandria database.

Geometry as POSCAR:
```
LiTl2Ga
1.0
0.000 3.605 3.605
3.605 0.000 3.605
3.605 3.605 0.000
Li Tl Ga
1 2 1
Cartesian
0.000 0.000 0.000
1.803 1.803 1.803
5.408 5.408 5.408
3.605 3.605 3.605
```

Output
The value obtained for the formation energy is -0.05 eV/atom. As for the crystal system: cubic. As for the offset from the most stable computed form: 0 meV/atom. The total energy comes out at -9.9 eV for the cell shown.



[7]
The following is a PBE calculation of a relaxed Li2TlGa2 crystal, from the Alexandria database.

Geometry as POSCAR:
```
Li2TlGa2
1.0
7.958 0.000 0.000
0.000 7.958 0.000
0.000 0.000 3.054
Li Tl Ga
4 2 4
Cartesian
1.462 2.517 0.000
2.517 6.496 0.000
5.441 1.462 0.000
6.496 5.441 0.000
0.000 0.000 1.527
3.979 3.979 1.527
0.909 4.888 1.527
3.070 0.909 1.527
4.888 7.049 1.527
7.049 3.070 1.527
```

Output
The value obtained for the formation energy is -0.17 eV/atom. As for the crystal system: tetragonal. As for the offset from the most stable computed form: 0 meV/atom. The total energy comes out at -26.2 eV for the cell shown.



[8]
The following is a PBE calculation of a relaxed LiTl2Ga crystal, from the Alexandria database.

Geometry as POSCAR:
```
LiTl2Ga
1.0
-2.280 2.280 9.926
2.280 -2.280 9.926
2.280 2.280 -9.926
Li Tl Ga
2 4 2
Cartesian
0.000 0.000 0.000
0.000 2.280 4.963
3.420 1.106 -2.481
1.106 1.140 2.481
-1.140 1.174 7.444
1.174 1.140 12.407
2.280 0.000 4.963
0.000 0.000 9.926
```

Output
The value obtained for the formation energy is 0.08 eV/atom. As for the crystal system: tetragonal. As for the offset from the most stable computed form: 131 meV/atom. The total energy comes out at -18.7 eV for the cell shown.



[9]
The following is a PBE calculation of a relaxed Li5Tl4Ga crystal, from the Alexandria database.

Geometry as POSCAR:
```
Li5Tl4Ga
1.0
3.432 0.000 0.000
0.000 3.432 0.000
0.000 0.000 17.029
Li Tl Ga
5 4 1
Cartesian
0.000 0.000 0.000
0.000 0.000 3.605
0.000 0.000 7.102
0.000 0.000 9.927
0.000 0.000 13.424
1.716 1.716 1.800
1.716 1.716 5.379
1.716 1.716 11.650
1.716 1.716 15.228
1.716 1.716 8.514
```

Output
The value obtained for the formation energy is -0.22 eV/atom. As for the crystal system: tetragonal. The total energy comes out at -24.3 eV for the cell shown.



[10]
The following is a PBE calculation of a relaxed Li2Tl2Ga crystal, from the Alexandria database.

Geometry as POSCAR:
```
Li2Tl2Ga
1.0
-2.006 2.006 7.036
2.006 -2.006 7.036
2.006 2.006 -7.036
Li Tl Ga
2 2 1
Cartesian
2.006 0.000 3.518
0.000 2.006 3.518
0.000 0.000 1.477
0.000 0.000 12.595
0.000 0.000 7.036
```

Output
The value obtained for the formation energy is 0.01 eV/atom. As for the crystal system: tetragonal. As for the offset from the most stable computed form: 116 meV/atom. The total energy comes out at -11.6 eV for the cell shown.



[11]
The following is a PBE calculation of a relaxed Li12Tl3Ga crystal, from the Alexandria database.

Geometry as POSCAR:
```
Li12Tl3Ga
1.0
4.201 0.000 0.000
0.000 4.201 0.000
0.000 0.000 16.812
Li Tl Ga
12 3 1
Cartesian
0.000 0.000 0.000
0.000 0.000 4.000
0.000 0.000 8.406
0.000 0.000 12.812
0.000 2.100 1.855
0.000 2.100 6.194
0.000 2.100 10.618
0.000 2.100 14.957
2.100 0.000 1.855
2.100 0.000 6.194
2.100 0.000 10.618
2.100 0.000 14.957
2.100 2.100 3.985
2.100 2.100 8.406
2.100 2.100 12.827
2.100 2.100 0.000
```

Output
The value obtained for the formation energy is -0.18 eV/atom. As for the crystal system: tetragonal. The total energy comes out at -36.0 eV for the cell shown.



[12]
The following is a PBE calculation of a relaxed LiTl2Ga crystal, from the Alexandria database.

Geometry as POSCAR:
```
LiTl2Ga
1.0
2.363 1.364 5.435
-2.363 1.364 5.435
0.000 -2.729 5.435
Li Tl Ga
1 2 1
Cartesian
0.000 0.000 0.000
0.000 0.000 9.545
0.000 0.000 12.708
0.000 0.000 3.164
```

Output
The value obtained for the formation energy is 0.00 eV/atom. As for the crystal system: trigonal. As for the offset from the most stable computed form: 51 meV/atom. The total energy comes out at -9.7 eV for the cell shown.



[13]
The following is a PBE calculation of a relaxed Li3TlGa crystal, from the Alexandria database.

Geometry as POSCAR:
```
Li3TlGa
1.0
4.899 0.000 0.000
0.000 4.899 0.000
0.000 0.000 4.899
Li Tl Ga
3 1 1
Cartesian
0.000 0.000 2.449
0.000 2.449 0.000
2.449 0.000 0.000
2.449 2.449 2.449
0.000 0.000 0.000
```

Output
The value obtained for the formation energy is 0.06 eV/atom. As for the crystal system: cubic. As for the offset from the most stable computed form: 312 meV/atom. The total energy comes out at -10.8 eV for the cell shown.



[14]
The following is a PBE calculation of a relaxed Li2Tl2Ga crystal, from the Alexandria database.

Geometry as POSCAR:
```
Li2Tl2Ga
1.0
7.926 0.000 0.000
0.000 7.926 0.000
0.000 0.000 3.522
Li Tl Ga
4 4 2
Cartesian
1.204 2.759 0.000
2.759 6.722 0.000
5.166 1.204 0.000
6.722 5.166 0.000
1.178 5.141 1.761
2.784 1.178 1.761
5.141 6.747 1.761
6.747 2.784 1.761
0.000 0.000 1.761
3.963 3.963 1.761
```

Output
The value obtained for the formation energy is -0.09 eV/atom. As for the crystal system: tetragonal. As for the offset from the most stable computed form: 21 meV/atom. The total energy comes out at -24.1 eV for the cell shown.



[15]
The following is a PBE calculation of a relaxed Li3TlGa2 crystal, from the Alexandria database.

Geometry as POSCAR:
```
Li3TlGa2
1.0
4.226 0.000 0.000
0.000 12.635 0.000
0.000 0.000 3.991
Li Tl Ga
6 2 4
Cartesian
1.056 0.995 3.990
1.056 5.323 3.990
1.056 9.476 0.004
3.169 3.159 3.987
3.169 7.312 0.001
3.169 11.640 0.001
1.056 3.159 1.992
3.169 9.476 1.999
1.056 7.222 1.996
1.056 11.730 1.996
3.169 0.905 1.995
3.169 5.412 1.995
```

Output
The value obtained for the formation energy is -0.22 eV/atom. As for the crystal system: orthorhombic. The total energy comes out at -31.0 eV for the cell shown.



[16]
The following is a PBE calculation of a relaxed Li14TlGa crystal, from the Alexandria database.

Geometry as POSCAR:
```
Li14TlGa
1.0
6.931 0.000 0.000
0.000 6.931 0.000
0.000 0.000 6.167
Li Tl Ga
14 1 1
Cartesian
0.000 0.000 0.000
0.000 3.466 0.000
0.000 3.466 3.084
1.676 1.676 1.643
1.676 1.676 4.524
1.676 5.255 1.643
1.676 5.255 4.524
3.466 0.000 0.000
3.466 0.000 3.084
3.466 3.466 0.000
5.255 1.676 1.643
5.255 1.676 4.524
5.255 5.255 1.643
5.255 5.255 4.524
3.466 3.466 3.084
0.000 0.000 3.084
```

Output
The value obtained for the formation energy is -0.10 eV/atom. As for the crystal system: tetragonal. The total energy comes out at -33.8 eV for the cell shown.



[17]
The following is a PBE calculation of a relaxed Li4Tl2Ga crystal, from the Alexandria database.

Geometry as POSCAR:
```
Li4Tl2Ga
1.0
2.358 1.362 7.404
-2.358 1.362 7.404
0.000 -2.723 7.404
Li Tl Ga
4 2 1
Cartesian
0.000 0.000 2.659
0.000 0.000 8.315
0.000 0.000 13.898
0.000 0.000 19.554
0.000 0.000 5.481
0.000 0.000 16.732
0.000 0.000 11.107
```

Output
The value obtained for the formation energy is -0.16 eV/atom. As for the crystal system: trigonal. The total energy comes out at -16.6 eV for the cell shown.



[18]
The following is a PBE calculation of a relaxed LiTlGa2 crystal, from the Alexandria database.

Geometry as POSCAR:
```
LiTlGa2
1.0
3.681 0.000 0.000
0.000 3.681 0.000
0.000 0.000 6.203
Li Tl Ga
1 1 2
Cartesian
0.000 0.000 0.000
0.000 0.000 3.101
1.840 1.840 1.349
1.840 1.840 4.853
```

Output
The value obtained for the formation energy is -0.04 eV/atom. As for the crystal system: tetragonal. As for the offset from the most stable computed form: 44 meV/atom. The total energy comes out at -10.5 eV for the cell shown.



[19]
The following is a PBE calculation of a relaxed Li3Tl4Ga crystal, from the Alexandria database.

Geometry as POSCAR:
```
Li3Tl4Ga
1.0
4.992 0.000 0.000
0.000 4.992 0.000
0.000 0.000 7.160
Li Tl Ga
3 4 1
Cartesian
0.000 0.000 0.000
0.000 0.000 3.580
2.496 2.496 0.000
0.000 2.496 1.770
0.000 2.496 5.390
2.496 0.000 1.770
2.496 0.000 5.390
2.496 2.496 3.580
```

Output
The value obtained for the formation energy is -0.14 eV/atom. As for the crystal system: tetragonal. The total energy comes out at -19.4 eV for the cell shown.



[20]
The following is a PBE calculation of a relaxed LiTlGa2 crystal, from the Alexandria database.

Geometry as POSCAR:
```
LiTlGa2
1.0
0.000 3.502 3.502
3.502 0.000 3.502
3.502 3.502 0.000
Li Tl Ga
1 1 2
Cartesian
0.000 0.000 0.000
3.502 3.502 3.502
1.751 1.751 1.751
5.253 5.253 5.253
```

Output
The value obtained for the formation energy is 0.00 eV/atom. As for the crystal system: cubic. As for the offset from the most stable computed form: 84 meV/atom. The total energy comes out at -10.3 eV for the cell shown.